# 1
! BaTb2Zn, relaxed, DFT PBE; values from VASP
&SYSTEM
  ibrav = 0, nat = 4, ntyp = 3
/
ATOMIC_SPECIES
Ba 137.33 Ba.upf
Tb 158.93 Tb.upf
Zn 65.41 Zn.upf
ATOMIC_POSITIONS angstrom
Ba -5.3884 0.1831 -0.8980
Tb -7.0976 3.4419 0.8776
Zn -1.0970 -1.8980 -1.4286
Tb -1.4851 0.7202 0.1836
CELL_PARAMETERS angstrom
-0.6874 -0.4991 -3.6017
-1.5067 -3.2969 0.7444
-8.5827 4.1621 1.0612
! formation enthalpy at 0 K = -0.033 eV/atom
! V = 131 Å³/cell

---

# 2
! BaTc3, relaxed, DFT PBE; values from VASP
&SYSTEM
  ibrav = 0, nat = 8, ntyp = 2
/
ATOMIC_SPECIES
Ba 137.33 Ba.upf
Tc 98.00 Tc.upf
ATOMIC_POSITIONS angstrom
Ba 3.8119 -2.1672 3.1490
Tc 6.3416 -0.7403 1.0497
Tc 1.2822 0.7403 3.1490
Tc 1.2822 -0.7403 1.0497
Tc 3.8119 -5.0670 1.0497
Tc 3.8119 5.0670 3.1490
Ba 3.8119 2.1672 1.0497
Tc 6.3416 0.7403 3.1490
CELL_PARAMETERS angstrom
3.8119 -6.5471 0.0000
3.8119 6.5471 0.0000
0.0000 0.0000 4.1986
! formation enthalpy at 0 K = 0.697 eV/atom
! V = 210 Å³/cell